# 1
HoBeSi2Ni4 | PBE | optimized geometry

The density is 7.48 g cm⁻³. The formation energy without anion corrections is -0.6237 eV/atom.

The space group is R-3m (No. 166, hexagonal axes) and the conventional cell measures 3.8731, 3.8731 and 23.8341 Å, with angles of 90.00, 90.00 and 120.00 degrees. Symmetry generates all atoms from Ho at (0.0000, 0.0000, 0.0000), Be at (0.0000, 0.0000, 0.5000), Si at (0.0000, 0.0000, 0.2388), Ni at (0.0000, 0.0000, 0.1368) and Ni at (0.0000, 0.0000, 0.4106).

***

# 2
Rb6H2AuF3 | PBE | optimized geometry

The density is 3.75 g cm⁻³. Its total energy is -76.240 eV/cell.

The space group is C2/m (No. 12) and the conventional cell measures 18.967, 4.248 and 8.735 Å, with angles of 90.00, 104.44 and 90.00 degrees. Symmetry generates all atoms from Rb at (0.008, 0.000, 0.215), Rb at (0.166, 0.500, 0.084), Rb at (0.179, 0.500, 0.585), H at (0.171, 0.000, 0.839), Au at (0.000, 0.500, 0.500), F at (0.000, 0.500, 0.000) and F at (0.168, 0.000, 0.323).

***

# 3
Zn2RuBr | PBE | optimized geometry

The density is 7.77 g cm⁻³. As for the relative energy among the computed polymorphs: 0.290 eV/atom. The formation energy without anion corrections is 0.4097 eV/atom.

The space group is C2/m (No. 12) and the conventional cell measures 10.403, 3.132 and 4.453 Å, with angles of 90.00, 113.21 and 90.00 degrees. Symmetry generates all atoms from Zn at (0.226, 0.000, 0.222), Ru at (0.000, 0.500, 0.000) and Br at (0.000, 0.000, 0.500).

***

# 4
SrTa2W | PBE | optimized geometry

The density is 10.11 g cm⁻³. As for the relative energy among the computed polymorphs: 0.265 eV/atom.

The space group is Imm2 (No. 44) and the conventional cell measures 3.365, 4.407 and 14.032 Å, with angles of 90.00, 90.00 and 90.00 degrees. Symmetry generates all atoms from Sr at (0.000, 0.000, 0.000), Ta at (0.000, 0.000, 0.347), Ta at (0.000, 0.500, 0.226) and W at (0.000, 0.500, 0.709).

***

# 5
Y3BiTe | PBE | optimized geometry

The density is 5.41 g cm⁻³. As for the relative energy among the computed polymorphs: 0.272 eV/atom. The formation energy without anion corrections is -0.6292 eV/atom.

The space group is C2/m (No. 12) and the conventional cell measures 17.199, 4.333 and 10.471 Å, with angles of 90.00, 108.48 and 90.00 degrees. Symmetry generates all atoms from Y at (0.012, 0.000, 0.168), Y at (0.145, 0.500, 0.052), Y at (0.188, 0.000, 0.570), Bi at (0.116, 0.500, 0.359) and Te at (0.167, 0.000, 0.843).

***

# 6
Nd3MgCo | PBE | optimized geometry

The density is 5.95 g cm⁻³. As for the relative energy among the computed polymorphs: 0.053 eV/atom.

The space group is C2/m (No. 12) and the conventional cell measures 18.948, 3.742 and 8.126 Å, with angles of 90.00, 90.88 and 90.00 degrees. Symmetry generates all atoms from Nd at (0.037, 0.000, 0.196), Nd at (0.098, 0.500, 0.572), Nd at (0.174, 0.000, 0.909), Mg at (0.218, 0.000, 0.352) and Co at (0.063, 0.500, 0.911).

***

Number 1: Fermi-level density of states 3.23 states/eV/f.u.. Number 2: Fermi-level density of states 0.00 states/eV/f.u.. Number 3: Fermi-level density of states 2.14 states/eV/f.u.. Number 4: Fermi-level density of states 3.60 states/eV/f.u.. Number 5: Fermi-level density of states 5.23 states/eV/f.u.. Number 6: Fermi-level density of states 5.40 states/eV/f.u..